# Ca2Ac3SmTe6 (GGA-PBE, optimized geometry)
# Volume = 831.37 Å³/cell
# Total magnetic moment = 0.00 μB per cell
# E_form (uncorrected) = -1504 meV per atom
data_Ca2Ac3SmTe6
_space_group_name_H-M_alt 'C 1 2/m 1'
_space_group_IT_number 12
_cell_length_a 7.9385
_cell_length_b 13.7675
_cell_length_c 8.0564
_cell_angle_alpha 90.00
_cell_angle_beta 109.23
_cell_angle_gamma 90.00
loop_
_space_group_symop_operation_xyz
'x,y,z'
'-x,-y,-z'
'-x,y,-z'
'x,-y,z'
'x+1/2,y+1/2,z'
'-x+1/2,-y+1/2,-z'
'-x+1/2,y+1/2,-z'
'x+1/2,-y+1/2,z'
loop_
_atom_site_label
_atom_site_type_symbol
_atom_site_fract_x
_atom_site_fract_y
_atom_site_fract_z
_atom_site_occupancy
Ca1 Ca 0.0000 0.1667 0.0000 1
Ac1 Ac 0.0000 0.0000 0.5000 1
Ac2 Ac 0.0000 0.3322 0.5000 1
Sm1 Sm 0.0000 0.5000 0.0000 1
Te1 Te 0.2431 0.0000 0.2321 1
Te2 Te 0.2437 0.3329 0.2293 1